1.
Material: Sr3Ti2RuO9
Method: DFT, PBE-GGA
State: optimized geometry

Lattice parameters (Å, degrees): 5.5884 5.5884 6.8495 90.00 90.00 120.00
Space group P-3m1 (No. 164)
Unique sites:
1 Sr 0.0000 0.0000 0.0000 x1
2 Sr 0.3333 0.6667 0.6675 x2
3 Ti 0.3333 0.6667 0.1656 x2
4 Ru 0.0000 0.0000 0.5000 x1
5 O 0.0000 0.5000 0.0000 x3
6 O 0.1678 0.3356 0.3317 x6

Summary:
The calculation puts the total moment at 2.03 μB per formula unit. The calculation puts the total energy at -115.052 eV per cell. The value obtained for the uncorrected formation energy is -61.98 kcal/mol of atoms.



2.
Material: RuRh
Method: DFT, PBE-GGA
State: optimized geometry

Lattice parameters (Å, degrees): 2.7301 2.7301 8.7123 90.00 90.00 120.00
Space group P-3m1 (No. 164)
Unique sites:
1 Ru 0.3333 0.6667 0.3806 x2
2 Rh 0.3333 0.6667 0.8694 x2

Summary:
For the formation energy, the calculation gives -0.009 eV per atom. The calculation puts the total moment at 0.00 μB per formula unit. The calculation puts the total energy at -33.290 eV per cell.



3.
Material: TaBeAg
Method: DFT, PBE-GGA
State: optimized geometry

Lattice parameters (Å, degrees): 3.814 3.814 6.203 90.00 90.00 90.00
Space group P4/nmm (No. 129, origin choice 2)
Unique sites:
1 Ta 0.250 0.250 0.140 x2
2 Be 0.250 0.750 0.500 x2
3 Ag 0.250 0.250 0.705 x2

Summary:
For the formation energy, the calculation gives 0.466 eV per atom. The calculation puts the total moment at 0.00 μB per formula unit. The calculation puts the total energy at -34.065 eV per cell. As for the energy above the most stable polymorph in this dataset: 1.39 eV/f.u.